Entry 1:
This record from Alexandria via LeMat-Bulk describes an optimized crystal structure of Y6CN2O2. The functional is PBE.

abc: 6.063 6.063 6.067
angles: 99.68 99.68 120.00
Positions (direct):
Y1 0.067 0.411 0.751
Y2 0.237 0.237 0.253
Y3 0.411 0.067 0.751
Y4 0.589 0.933 0.249
Y5 0.763 0.763 0.747
Y6 0.933 0.589 0.249
C1 0.000 0.000 0.500
N1 0.166 0.834 0.000
N2 0.834 0.166 0.000
O1 0.331 0.669 0.500
O2 0.669 0.331 0.500

Summary:
As for the crystal system: monoclinic.

=====

Entry 2:
This record from Alexandria via LeMat-Bulk describes an optimized crystal structure of Y6CN3O2. The functional is PBE.

abc: 6.027 6.027 6.035
angles: 99.60 99.60 119.97
Positions (direct):
Y1 0.085 0.414 0.756
Y2 0.244 0.244 0.246
Y3 0.414 0.085 0.756
Y4 0.586 0.915 0.244
Y5 0.756 0.756 0.754
Y6 0.915 0.586 0.244
C1 0.000 0.000 0.500
N1 0.166 0.834 0.000
N2 0.500 0.500 0.000
N3 0.834 0.166 0.000
O1 0.334 0.666 0.500
O2 0.666 0.334 0.500

Summary:
As for the crystal system: monoclinic.

=====

Entry 3:
This record from Alexandria via LeMat-Bulk describes an optimized crystal structure of Yb2CN2O2. The functional is PBE.

abc: 3.727 3.727 8.274
angles: 90.00 90.00 120.00
Positions (direct):
Yb1 0.333 0.667 0.176
Yb2 0.667 0.333 0.824
C1 0.000 0.000 0.500
N1 0.000 0.000 0.351
N2 0.000 0.000 0.649
O1 0.333 0.667 0.896
O2 0.667 0.333 0.104

Summary:
As for the crystal system: trigonal.

=====

Entry 4:
This record from Alexandria via LeMat-Bulk describes an optimized crystal structure of ZnCNO2. The functional is PBE.

abc: 4.288 4.288 2.488
angles: 90.00 90.00 90.00
Positions (direct):
Zn1 0.000 0.000 0.000
C1 0.500 0.500 0.500
N1 0.500 0.500 0.000
O1 0.000 0.500 0.500
O2 0.500 0.000 0.500

Summary:
As for the crystal system: tetragonal.

=====

Entry 5:
This record from Alexandria via LeMat-Bulk describes an optimized crystal structure of ZnC2N8O4. The functional is PBE.

abc: 10.174 8.295 11.812
angles: 90.00 122.14 90.00
Positions (direct):
Zn1 0.000 0.000 0.000
Zn2 0.000 0.500 0.500
C1 0.195 0.018 0.519
C2 0.195 0.482 0.019
C3 0.805 0.518 0.981
C4 0.805 0.982 0.481
N1 0.259 0.730 0.356
N2 0.259 0.770 0.856
N3 0.289 0.600 0.377
N4 0.289 0.900 0.877
N5 0.332 0.205 0.269
N6 0.332 0.295 0.769
N7 0.363 0.167 0.371
N8 0.363 0.333 0.871
N9 0.637 0.667 0.129
N10 0.637 0.833 0.629
N11 0.668 0.705 0.231
N12 0.668 0.795 0.731
N13 0.711 0.100 0.123
N14 0.711 0.400 0.623
N15 0.741 0.230 0.144
N16 0.741 0.270 0.644
O1 0.086 0.084 0.432
O2 0.086 0.416 0.932
O3 0.304 0.549 0.107
O4 0.304 0.951 0.607
O5 0.696 0.049 0.393
O6 0.696 0.451 0.893
O7 0.914 0.584 0.068
O8 0.914 0.916 0.568

Summary:
As for the crystal system: monoclinic.

=====

Entry 6:
This record from Alexandria via LeMat-Bulk describes an optimized crystal structure of ZnCNO2. The functional is PBE.

abc: 3.888 3.888 3.876
angles: 90.00 90.00 90.00
Positions (direct):
Zn1 0.000 0.000 0.000
C1 0.500 0.500 0.500
N1 0.000 0.000 0.500
O1 0.000 0.500 0.000
O2 0.500 0.000 0.000

Summary:
As for the crystal system: tetragonal.

=====

Entry 7:
This record from Alexandria via LeMat-Bulk describes an optimized crystal structure of Zr6CN3O2. The functional is PBE.

abc: 5.691 5.691 5.683
angles: 99.64 99.64 119.92
Positions (direct):
Zr1 0.087 0.406 0.761
Zr2 0.236 0.236 0.243
Zr3 0.406 0.087 0.761
Zr4 0.594 0.913 0.239
Zr5 0.764 0.764 0.757
Zr6 0.913 0.594 0.239
C1 0.000 0.000 0.500
N1 0.168 0.832 0.000
N2 0.500 0.500 0.000
N3 0.832 0.168 0.000
O1 0.331 0.669 0.500
O2 0.669 0.331 0.500

Summary:
As for the crystal system: monoclinic.

=====

Entry 8:
This record from Alexandria via LeMat-Bulk describes an optimized crystal structure of Zr6C3NO2. The functional is PBE.

abc: 5.726 5.726 5.762
angles: 99.51 99.51 120.07
Positions (direct):
Zr1 0.088 0.412 0.766
Zr2 0.236 0.236 0.240
Zr3 0.412 0.088 0.766
Zr4 0.588 0.912 0.234
Zr5 0.764 0.764 0.760
Zr6 0.912 0.588 0.234
C1 0.167 0.833 0.000
C2 0.500 0.500 0.000
C3 0.833 0.167 0.000
N1 0.000 0.000 0.500
O1 0.333 0.667 0.500
O2 0.667 0.333 0.500

Summary:
As for the crystal system: monoclinic.

=====

Entry 9:
This record from Alexandria via LeMat-Bulk describes an optimized crystal structure of Zr6CN2O. The functional is PBE.

abc: 6.228 6.228 6.228
angles: 54.52 54.52 54.52
Positions (direct):
Zr1 0.003 0.671 0.325
Zr2 0.176 0.506 0.825
Zr3 0.325 0.003 0.671
Zr4 0.506 0.825 0.176
Zr5 0.671 0.325 0.003
Zr6 0.825 0.176 0.506
C1 0.591 0.591 0.591
N1 0.413 0.413 0.413
N2 0.914 0.914 0.914
O1 0.090 0.090 0.090

Summary:
As for the crystal system: trigonal.

=====

Entry 10:
This record from Alexandria via LeMat-Bulk describes an optimized crystal structure of Zr6C3N2O. The functional is PBE.

abc: 7.416 7.416 6.622
angles: 103.14 103.14 25.70
Positions (direct):
Zr1 0.001 0.001 0.237
Zr2 0.329 0.329 0.416
Zr3 0.333 0.333 0.916
Zr4 0.667 0.667 0.084
Zr5 0.671 0.671 0.584
Zr6 0.999 0.999 0.763
C1 0.166 0.166 0.334
C2 0.500 0.500 0.000
C3 0.834 0.834 0.666
N1 0.165 0.165 0.829
N2 0.835 0.835 0.171
O1 0.500 0.500 0.500

Summary:
As for the crystal system: monoclinic.

=====

Entry 11:
This record from Alexandria via LeMat-Bulk describes an optimized crystal structure of ZrCN2O. The functional is PBE.

abc: 4.395 4.395 4.062
angles: 90.00 90.00 90.00
Positions (direct):
Zr1 0.000 0.000 0.000
C1 0.500 0.500 0.500
N1 0.000 0.500 0.000
N2 0.500 0.000 0.000
O1 0.000 0.000 0.500

Summary:
As for the crystal system: tetragonal.

=====

Entry 12:
This record from Alexandria via LeMat-Bulk describes an optimized crystal structure of Zr8C3N3O. The functional is PBE.

abc: 6.587 6.587 6.587
angles: 60.14 60.14 60.14
Positions (direct):
Zr1 0.249 0.249 0.249
Zr2 0.251 0.747 0.747
Zr3 0.253 0.253 0.749
Zr4 0.253 0.749 0.253
Zr5 0.747 0.251 0.747
Zr6 0.747 0.747 0.251
Zr7 0.749 0.253 0.253
Zr8 0.751 0.751 0.751
C1 0.000 0.000 0.500
C2 0.000 0.500 0.000
C3 0.500 0.000 0.000
N1 0.000 0.500 0.500
N2 0.500 0.000 0.500
N3 0.500 0.500 0.000
O1 0.500 0.500 0.500

Summary:
As for the crystal system: trigonal.

=====

These records have final energy values of -8.567 -8.864 -7.159 -5.020 -7.519 -3.622 -9.771 -9.701 -9.599 -9.831 -6.420 -9.747 eV per atom, in the order they appear.
These records have total moment values of 0.00 0.00 0.29 0.22 0.00 0.44 0.00 0.00 0.00 0.00 0.40 0.00 μB per atom, in the order they appear.